NaCoF2 | GGA+U | optimized geometry

Calculated values
* offset from the most stable computed form: 1.76 eV/f.u.
* volume: 190 Å³/cell
* total DFT energy (no corrections): -62.70 eV for the cell shown
* total magnetic moment: 0.597 μB/atom
* theoretical density: 4.18 g/cm³
* Fermi-level density of states: 24.357 states/eV per cell

```
data_NaCoF2
_chemical_formula_sum 'Na4 Co4 F8'
_cell_length_a 5.753
_cell_length_b 5.753
_cell_length_c 5.753
_cell_angle_alpha 90.00
_cell_angle_beta 90.00
_cell_angle_gamma 90.00
_symmetry_space_group_name_H-M 'F m -3 m'
_symmetry_Int_Tables_number 225
_symmetry_space_group_name_Hall '-F 4 2 3'
loop_
_atom_site_label
_atom_site_fract_x
_atom_site_fract_y
_atom_site_fract_z
Na1 0.000 0.000 0.000
Co1 0.000 0.000 0.500
F1 0.250 0.250 0.250
```